No. 1
Here is a geometry-optimized Co2AsH structure from Alexandria. Energies are from PBE.

Results
Space-group type: R3m, No. 160
Distance to the lowest polymorph of the same formula (meV per atom): 23

Cell lengths 2.888, 2.888, 5.703 Å; angles 75.33, 75.33, 60.00 degrees
Positions (direct):
H: 0.676 0.676 0.973
Co: 0.061 0.061 0.817
Co: 0.266 0.266 0.202
As: 0.497 0.497 0.508

=====

No. 2
Here is a geometry-optimized MnAgH2 structure from Alexandria. Energies are from PBE.

Results
Space-group type: Fm-3m, No. 225
Distance to the lowest polymorph of the same formula (meV per atom): 497

Cell lengths 3.816, 3.816, 3.816 Å; angles 60.00, 60.00, 60.00 degrees
Positions (direct):
Mn: 0.000 0.000 0.000
H: 0.250 0.250 0.250
H: 0.750 0.750 0.750
Ag: 0.500 0.500 0.500

=====

No. 3
Here is a geometry-optimized LuThCdNi structure from Alexandria. Energies are from PBE.

Results
E_form (kcal/mol of atoms): -3.37
Space-group type: F-43m, No. 216

Cell lengths 5.107, 5.107, 5.107 Å; angles 60.00, 60.00, 60.00 degrees
Positions (direct):
Cd: 0.750 0.750 0.750
Lu: 0.000 0.000 0.000
Th: 0.500 0.500 0.500
Ni: 0.250 0.250 0.250

=====

No. 4
Here is a geometry-optimized KHg2Br structure from Alexandria. Energies are from PBE.

Results
ΔE_f (raw) (kJ per mole of atoms): -69
Space-group type: F-43m, No. 216
Distance to the lowest polymorph of the same formula (meV per atom): 52

Cell lengths 5.770, 5.770, 5.770 Å; angles 60.00, 60.00, 60.00 degrees
Positions (direct):
K: 0.750 0.750 0.750
Hg: 0.250 0.250 0.250
Hg: 0.000 0.000 0.000
Br: 0.500 0.500 0.500

=====

Result set for Fermi-level density of states: 1.02 0.62 0.95 0.00 states/eV/atom, one per record in the order listed.